*P*
# NdTmZnPt

A geometry-optimized NdTmZnPt structure (PBE, the Alexandria database).

```
NdTmZnPt
1.0
4.4231 0.0000 0.0000
0.0000 1.9396 5.4741
0.0000 -1.9396 5.4741
Nd Tm Zn Pt
1 1 1 1
direct
0.0000 0.0000 0.0000
0.5000 0.7175 0.7175
0.5000 0.4274 0.4274
0.0000 0.2776 0.2776
```

Output
**M_tot**: 0.00 μB/cell
**Crystal system**: orthorhombic

*Q*
# NdTmZnPt

A geometry-optimized NdTmZnPt structure (PBE, the Alexandria database).

```
NdTmZnPt
1.0
0.0000 3.5633 3.5633
3.5633 0.0000 3.5633
3.5633 3.5633 0.0000
Nd Tm Zn Pt
1 1 1 1
direct
0.0000 0.0000 0.0000
0.5000 0.5000 0.5000
0.2500 0.2500 0.2500
0.7500 0.7500 0.7500
```

Output
**M_tot**: 0.00 μB/cell
**Crystal system**: cubic

The least stable of them is *Q*.

*P*
# NdY3Pt

A geometry-optimized NdY3Pt structure (PBE, the Alexandria database).

```
NdY3Pt
1.0
5.5057 0.0000 0.0000
0.0000 5.5057 0.0000
0.0000 0.0000 5.5057
Nd Y Pt
1 3 1
direct
0.0000 0.0000 0.0000
0.0000 0.5000 0.5000
0.5000 0.0000 0.5000
0.5000 0.5000 0.0000
0.5000 0.5000 0.5000
```

Output
**M_tot**: 0.00 μB/cell
**Crystal system**: cubic

*Q*
# NdY3Pt

A geometry-optimized NdY3Pt structure (PBE, the Alexandria database).

```
NdY3Pt
1.0
7.7069 0.0000 0.0000
0.0000 6.7468 0.0000
0.0000 0.0000 6.1582
Nd Y Pt
2 6 2
direct
0.0000 0.1420 0.0000
0.5000 0.8580 0.5000
0.0000 0.8478 0.4868
0.2447 0.3057 0.4973
0.2553 0.6943 0.9973
0.5000 0.1522 0.9868
0.7447 0.6943 0.9973
0.7553 0.3057 0.4973
0.0000 0.5088 0.7495
0.5000 0.4912 0.2495
```

Output
**M_tot**: 0.00 μB/cell
**Crystal system**: orthorhombic

The least stable of them is *P*.

*P*
# NdYPt

A geometry-optimized NdYPt structure (PBE, the Alexandria database).

```
NdYPt
1.0
3.5648 0.0000 0.0000
-1.7779 6.6243 0.0000
-0.0068 -2.1261 6.9544
Nd Y Pt
2 2 2
direct
0.1332 0.2654 0.0662
0.8668 0.7346 0.9338
0.1322 0.2645 0.5623
0.8678 0.7355 0.4377
0.4905 0.9820 0.2659
0.5095 0.0180 0.7341
```

Output
**M_tot**: 0.00 μB/cell
**Crystal system**: triclinic

*Q*
# NdYPt

A geometry-optimized NdYPt structure (PBE, the Alexandria database).

```
NdYPt
1.0
1.9722 -6.0768 0.0000
1.9722 6.0768 0.0000
0.0000 0.0000 6.9186
Nd Y Pt
2 2 2
direct
0.0000 0.0000 0.0000
0.0000 0.0000 0.5000
0.2854 0.7146 0.7500
0.7146 0.2854 0.2500
0.3793 0.6207 0.2500
0.6207 0.3793 0.7500
```

Output
**M_tot**: 0.00 μB/cell
**Crystal system**: orthorhombic

The least stable of them is *P*.

*P*
# NdYPt

A geometry-optimized NdYPt structure (PBE, the Alexandria database).

```
NdYPt
1.0
4.6911 0.0000 0.0000
-2.3455 4.0626 0.0000
0.0000 0.0000 4.2865
Nd Y Pt
1 1 1
direct
0.0000 0.0000 0.0000
0.6667 0.3333 0.5210
0.3333 0.6667 0.3144
```

Output
**M_tot**: 0.00 μB/cell
**Crystal system**: trigonal

*Q*
# NdYPt

A geometry-optimized NdYPt structure (PBE, the Alexandria database).

```
NdYPt
1.0
7.0885 0.0000 0.0000
0.0000 5.8819 0.0000
-6.6683 0.0000 8.5505
Nd Y Pt
4 4 4
direct
0.1917 0.1467 0.3785
0.1917 0.3533 0.8785
0.8083 0.6467 0.1215
0.8083 0.8533 0.6215
0.3249 0.6274 0.6305
0.3249 0.8726 0.1305
0.6751 0.1274 0.8695
0.6751 0.3726 0.3695
0.3268 0.6577 0.3653
0.3268 0.8423 0.8653
0.6732 0.1577 0.1347
0.6732 0.3423 0.6347
```

Output
**M_tot**: 0.00 μB/cell
**Crystal system**: monoclinic

*R*
# NdYPt

A geometry-optimized NdYPt structure (PBE, the Alexandria database).

```
NdYPt
1.0
0.0000 3.5053 3.5053
3.5053 0.0000 3.5053
3.5053 3.5053 0.0000
Nd Y Pt
1 1 1
direct
0.0000 0.0000 0.0000
0.5000 0.5000 0.5000
0.7500 0.7500 0.7500
```

Output
**M_tot**: 0.00 μB/cell
**Crystal system**: cubic

The least stable of them is *P*.

*P*
# Nd2Zn3Pt

A geometry-optimized Nd2Zn3Pt structure (PBE, the Alexandria database).

```
Nd2Zn3Pt
1.0
3.7505 0.0000 0.0000
0.0000 4.5105 0.0000
0.0000 0.0000 7.7798
Nd Zn Pt
2 3 1
direct
0.0000 0.0000 0.0000
0.0000 0.5000 0.4620
0.5000 0.0000 0.6532
0.5000 0.5000 0.1379
0.5000 0.5000 0.8085
0.5000 0.0000 0.3136
```

Output
**M_tot**: 0.00 μB/cell
**Crystal system**: orthorhombic

*Q*
# Nd2Zn3Pt

A geometry-optimized Nd2Zn3Pt structure (PBE, the Alexandria database).

```
Nd2Zn3Pt
1.0
0.0000 4.5216 7.7588
3.7133 0.0000 7.7588
3.7133 4.5216 0.0000
Nd Zn Pt
4 6 2
direct
0.2412 0.7588 0.7588
0.2500 0.2500 0.2500
0.7500 0.7500 0.7500
0.7588 0.2412 0.2412
0.1690 0.6654 0.3346
0.3349 0.3349 0.6651
0.3346 0.8310 0.1690
0.6654 0.1690 0.8310
0.6651 0.6651 0.3349
0.8310 0.3346 0.6654
0.1662 0.1662 0.8338
0.8338 0.8338 0.1662
```

Output
**M_tot**: 0.00 μB/cell
**Crystal system**: orthorhombic

The least stable of them is *Q*.

*P*
# NdZn4Pt

A geometry-optimized NdZn4Pt structure (PBE, the Alexandria database).

```
NdZn4Pt
1.0
0.0000 3.7318 3.7318
3.7318 0.0000 3.7318
3.7318 3.7318 0.0000
Nd Zn Pt
1 4 1
direct
0.0000 0.0000 0.0000
0.3763 0.3763 0.3763
0.3763 0.3763 0.8711
0.3763 0.8711 0.3763
0.8711 0.3763 0.3763
0.7500 0.7500 0.7500
```

Output
**M_tot**: 0.00 μB/cell
**Crystal system**: cubic

*Q*
# NdZn4Pt

A geometry-optimized NdZn4Pt structure (PBE, the Alexandria database).

```
NdZn4Pt
1.0
2.3993 -6.9280 0.0000
2.3993 6.9280 0.0000
0.0000 0.0000 6.8531
Nd Zn Pt
2 8 2
direct
0.1121 0.8879 0.7500
0.8879 0.1121 0.2500
0.0999 0.9001 0.2500
0.2760 0.7240 0.0749
0.2760 0.7240 0.4251
0.5000 0.5000 0.0000
0.5000 0.5000 0.5000
0.7240 0.2760 0.5749
0.7240 0.2760 0.9251
0.9001 0.0999 0.7500
0.3606 0.6394 0.7500
0.6394 0.3606 0.2500
```

Output
**M_tot**: 0.00 μB/cell
**Crystal system**: orthorhombic

The least stable of them is *Q*.

*P*
# Nd3Zn4Pt4

A geometry-optimized Nd3Zn4Pt4 structure (PBE, the Alexandria database).

```
Nd3Zn4Pt4
1.0
3.8909 0.0000 0.0000
0.0025 4.3433 0.0000
1.9412 2.1418 13.5321
Nd Zn Pt
3 4 4
direct
0.0000 0.0000 0.0000
0.1459 0.6510 0.7090
0.8541 0.3490 0.2910
0.2542 0.2508 0.4933
0.4023 0.8978 0.1944
0.5977 0.1022 0.8056
0.7458 0.7492 0.5067
0.3077 0.8041 0.3819
0.4508 0.4440 0.1008
0.5492 0.5560 0.8992
0.6923 0.1959 0.6181
```

Output
**M_tot**: 0.00 μB/cell
**Crystal system**: triclinic

*Q*
# Nd3Zn4Pt4

A geometry-optimized Nd3Zn4Pt4 structure (PBE, the Alexandria database).

```
Nd3Zn4Pt4
1.0
-2.0646 3.7373 7.2134
2.0646 -3.7373 7.2134
2.0646 3.7373 -7.2134
Nd Zn Pt
3 4 4
direct
0.0000 0.0000 0.0000
0.3733 0.8733 0.5000
0.6267 0.1267 0.5000
0.0219 0.3270 0.6949
0.3679 0.6730 0.6949
0.6321 0.3270 0.3051
0.9781 0.6730 0.3051
0.2184 0.2184 0.0000
0.3030 0.5000 0.8030
0.6970 0.5000 0.1970
0.7816 0.7816 0.0000
```

Output
**M_tot**: 0.00 μB/cell
**Crystal system**: orthorhombic

The least stable of them is *P*.

*P*
# NdZrPt

A geometry-optimized NdZrPt structure (PBE, the Alexandria database).

```
NdZrPt
1.0
-1.7477 1.7477 5.9162
1.7477 -1.7477 5.9162
1.7477 1.7477 -5.9162
Nd Zr Pt
1 1 1
direct
0.0000 0.0000 0.0000
0.2921 0.2921 0.0000
0.6854 0.6854 0.0000
```

Output
**M_tot**: 0.00 μB/cell
**Crystal system**: tetragonal

*Q*
# NdZrPt

A geometry-optimized NdZrPt structure (PBE, the Alexandria database).

```
NdZrPt
1.0
4.7240 0.0000 0.0000
0.0000 4.7240 0.0000
0.0000 0.0000 6.8547
Nd Zr Pt
2 2 2
direct
0.2500 0.2500 0.1227
0.7500 0.7500 0.8773
0.2500 0.7500 0.5000
0.7500 0.2500 0.5000
0.2500 0.2500 0.6982
0.7500 0.7500 0.3018
```

Output
**M_tot**: 0.00 μB/cell
**Crystal system**: tetragonal

The least stable of them is *P*.